VASP calculation (PBE) on an optimized crystal structure of Ru6Pt16Rh7.

```
29
Lattice="-5.759 5.912 2.919 -5.808 -2.219 6.163 0.766 3.227 8.102" Properties=species:S:1:pos:R:3 pbc="T T T"
Ru -5.522 1.761 7.865
Ru -5.278 5.159 9.319
Ru -5.508 4.193 6.895
Ru -5.293 2.726 10.289
Ru -7.245 3.530 8.739
Ru -3.556 3.390 8.445
Pt -9.893 4.416 10.920
Pt -9.497 6.084 15.109
Pt -6.493 7.232 11.923
Pt -6.519 3.027 13.600
Pt -1.304 0.835 2.074
Pt -0.908 2.504 6.264
Pt -4.307 -0.312 5.261
Pt -4.282 3.893 3.584
Pt -7.552 2.531 6.230
Pt -7.076 4.534 11.258
Pt -3.471 5.911 7.433
Pt -3.502 0.864 9.446
Pt -3.724 2.386 5.925
Pt -3.249 4.389 10.954
Pt -7.330 1.009 9.751
Pt -7.299 6.056 7.738
Rh 0.000 0.000 0.000
Rh -2.496 4.569 5.511
Rh -2.904 -1.110 3.081
Rh -2.521 0.504 7.132
Rh -2.879 2.956 1.460
Rh 0.383 1.613 4.051
Rh -5.783 1.846 4.541
```

Properties
VASP energy = -6.67 eV per atom
Size of the total moment = 0.002 μB/f.u.


VASP calculation (PBE) on an optimized crystal structure of Ru3PtRh6.

```
20
Lattice="-5.975 -0.452 -3.389 4.724 -0.586 -4.974 0.419 -6.006 3.339" Properties=species:S:1:pos:R:3 pbc="T T T"
Ru 0.932 -5.631 -3.510
Ru -1.045 -4.331 -5.004
Ru 0.923 -1.196 -2.262
Ru -1.755 -5.847 -2.762
Ru 0.213 -2.712 -0.020
Ru -1.765 -1.413 -1.514
Pt 0.000 0.000 0.000
Pt -0.416 -3.522 -2.512
Rh 2.501 -6.368 -1.227
Rh -1.100 -4.738 1.528
Rh 1.390 -2.892 -4.333
Rh 3.554 -2.030 -3.039
Rh 0.221 -5.341 -0.706
Rh 2.133 -3.813 -1.887
Rh -2.965 -3.230 -3.137
Rh -1.053 -1.703 -4.318
Rh -4.386 -5.014 -1.985
Rh -2.222 -4.151 -0.691
Rh 0.268 -2.306 -6.552
Rh -3.334 -0.675 -3.797
```

Properties
VASP energy = -7.58 eV per atom
Size of the total moment = 0.000 μB/f.u.


VASP calculation (PBE) on an optimized crystal structure of Ru3PtRh.

```
10
Lattice="-3.504 -0.973 -2.467 2.960 -3.611 -2.780 0.154 -3.905 5.235" Properties=species:S:1:pos:R:3 pbc="T T T"
Ru -2.349 -2.146 0.269
Ru 1.959 -6.343 -0.281
Ru 0.489 -4.549 1.100
Ru -0.879 -3.940 -1.112
Ru 1.827 -3.787 -1.102
Ru -2.217 -4.701 1.090
Pt -0.752 -6.548 -0.263
Pt 0.362 -1.941 0.251
Rh 0.463 -3.209 -3.305
Rh -0.853 -5.280 3.293
```

Properties
VASP energy = -8.12 eV per atom
Polymorph energy (0 for the lowest one) = 0 meV per atom
Size of the total moment = 0.000 μB/f.u.


VASP calculation (PBE) on an optimized crystal structure of Ru2PtRh.

```
4
Lattice="-1.319 0.720 4.114 0.314 4.011 1.730 -3.619 2.346 0.760" Properties=species:S:1:pos:R:3 pbc="T T T"
Ru -1.156 1.769 1.651
Ru -3.469 5.308 4.953
Rh 0.000 0.000 0.000
Pt -2.313 3.538 3.302
```

Properties
VASP energy = -7.53 eV per atom
Polymorph energy (0 for the lowest one) = 474 meV per atom
Size of the total moment = 1.531 μB/f.u.


VASP calculation (PBE) on an optimized crystal structure of RuPtRh.

```
3
Lattice="4.187 0.000 0.000 2.094 3.626 0.000 2.094 1.209 3.419" Properties=species:S:1:pos:R:3 pbc="T T T"
Pt 4.187 2.417 1.709
Rh 6.281 3.626 2.564
Ru 0.000 0.000 0.000
```

Properties
VASP energy = -6.94 eV per atom
Polymorph energy (0 for the lowest one) = 644 meV per atom
Size of the total moment = 0.000 μB/f.u.


VASP calculation (PBE) on an optimized crystal structure of RuPt9Rh2.

```
12
Lattice="3.936 0.000 0.000 0.000 3.936 0.000 0.000 0.000 11.823" Properties=species:S:1:pos:R:3 pbc="T T T"
Ru 0.000 0.000 0.000
Pt 1.968 1.968 0.000
Pt 1.968 1.968 3.933
Pt 1.968 1.968 7.889
Pt 1.968 0.000 1.948
Pt 1.968 0.000 5.911
Pt 1.968 0.000 9.874
Pt 0.000 1.968 1.948
Pt 0.000 1.968 5.911
Pt 0.000 1.968 9.874
Rh 0.000 0.000 3.942
Rh 0.000 0.000 7.881
```

Properties
VASP energy = -6.53 eV per atom
Size of the total moment = 0.001 μB/f.u.


VASP calculation (PBE) on an optimized crystal structure of Ru2PtRh.

```
4
Lattice="4.734 -0.004 -0.006 1.596 4.457 0.006 -3.162 -2.231 2.722" Properties=species:S:1:pos:R:3 pbc="T T T"
Ru 6.330 4.453 0.000
Ru 2.369 -0.004 1.358
Rh 0.800 2.226 1.364
Pt 3.165 2.227 0.000
```

Properties
VASP energy = -7.96 eV per atom
Polymorph energy (0 for the lowest one) = 40 meV per atom
Size of the total moment = 0.000 μB/f.u.


VASP calculation (PBE) on an optimized crystal structure of RuPt2Rh4.

```
14
Lattice="2.710 0.000 0.000 -1.355 6.160 0.000 0.000 0.000 12.978" Properties=species:S:1:pos:R:3 pbc="T T T"
Ru 1.355 2.484 9.734
Ru 0.000 3.676 3.245
Pt 0.000 1.678 4.855
Pt 1.355 4.482 11.344
Pt 0.000 1.678 1.634
Pt 1.355 4.482 8.124
Rh 1.355 4.029 1.024
Rh 1.355 4.029 5.465
Rh 0.000 2.131 11.954
Rh 0.000 2.131 7.513
Rh 0.000 0.351 9.734
Rh 1.355 5.809 3.245
Rh 1.355 0.000 0.000
Rh 1.355 0.000 6.489
```

Properties
VASP energy = -7.05 eV per atom
Polymorph energy (0 for the lowest one) = 122 meV per atom
Size of the total moment = 0.000 μB/f.u.


VASP calculation (PBE) on an optimized crystal structure of RuPt3Rh6.

```
20
Lattice="-3.653 -2.014 -1.637 2.350 1.236 -6.765 2.981 -8.591 3.919" Properties=species:S:1:pos:R:3 pbc="T T T"
Ru 3.042 -4.160 -4.735
Ru -1.364 -5.209 0.252
Pt 1.516 -2.975 -2.787
Pt 0.162 -6.394 -1.695
Pt 2.227 -6.648 0.145
Pt -0.548 -2.722 -4.627
Pt 3.782 -7.869 -1.823
Pt -2.104 -1.500 -2.660
Rh 0.381 -0.507 -3.293
Rh 1.297 -8.863 -1.190
Rh -0.017 -1.740 -0.887
Rh 1.695 -7.629 -3.596
Rh 2.649 -5.396 -2.339
Rh -0.971 -3.973 -2.144
Rh 1.090 -4.193 -0.341
Rh 0.588 -5.176 -4.142
Rh 1.946 -1.758 -5.247
Rh -0.268 -7.612 0.764
Rh 1.813 -7.844 2.539
Rh -0.135 -1.525 -7.021
```

Properties
VASP energy = -7.12 eV per atom
Polymorph energy (0 for the lowest one) = 0 meV per atom
Size of the total moment = 0.001 μB/f.u.


VASP calculation (PBE) on an optimized crystal structure of Ru2Pt6Rh5.

```
26
Lattice="2.717 0.000 0.000 0.000 8.998 0.000 0.000 0.000 16.422" Properties=species:S:1:pos:R:3 pbc="T T T"
Ru 0.000 3.135 4.535
Ru 0.000 5.863 11.887
Ru 0.000 7.634 3.676
Ru 0.000 1.364 12.746
Pt 0.000 1.212 6.206
Pt 0.000 7.786 10.216
Pt 0.000 5.711 2.005
Pt 0.000 3.287 14.417
Pt 1.359 3.154 2.279
Pt 1.359 5.844 14.143
Pt 1.359 7.653 5.932
Pt 1.359 1.345 10.490
Pt 0.000 4.556 6.736
Pt 0.000 4.442 9.686
Pt 0.000 0.057 1.475
Pt 0.000 8.941 14.947
Rh 1.359 2.656 8.154
Rh 1.359 6.342 8.268
Rh 1.359 7.155 0.057
Rh 1.359 1.843 16.366
Rh 1.359 5.413 4.477
Rh 1.359 3.585 11.945
Rh 1.359 0.914 3.734
Rh 1.359 8.084 12.688
Rh 1.359 4.499 0.000
Rh 1.359 0.000 8.211
```

Properties
VASP energy = -6.88 eV per atom
Size of the total moment = 0.000 μB/f.u.


VASP calculation (PBE) on an optimized crystal structure of Ru2Pt3Rh.

```
12
Lattice="4.995 0.009 -0.005 -0.011 4.846 -2.474 0.006 0.655 7.273" Properties=species:S:1:pos:R:3 pbc="T T T"
Ru 4.992 4.256 5.435
Ru 2.494 1.259 -0.642
Ru -0.003 1.254 -0.640
Ru 2.495 4.252 5.437
Pt 3.741 4.611 3.038
Pt 1.249 0.900 1.757
Pt 3.738 4.717 0.261
Pt 1.252 0.793 4.533
Pt 3.743 2.304 1.493
Pt 1.246 3.207 3.301
Rh 3.746 2.187 4.274
Rh 1.243 3.324 0.521
```

Properties
VASP energy = -7.16 eV per atom
Size of the total moment = 0.000 μB/f.u.


VASP calculation (PBE) on an optimized crystal structure of RuPtRh2.

```
4
Lattice="-2.144 0.411 3.198 -0.085 -3.846 0.437 3.208 0.171 2.128" Properties=species:S:1:pos:R:3 pbc="T T T"
Ru 0.532 0.291 2.663
Rh 0.000 0.000 0.000
Rh -1.114 -1.718 1.818
Pt 1.561 -1.837 1.283
```

Properties
VASP energy = -7.48 eV per atom
Polymorph energy (0 for the lowest one) = 67 meV per atom
Size of the total moment = 0.000 μB/f.u.


VASP calculation (PBE) on an optimized crystal structure of Ru2PtRh.

```
4
Lattice="4.741 0.004 -0.001 3.963 2.603 -0.001 0.768 0.230 4.667" Properties=species:S:1:pos:R:3 pbc="T T T"
Ru 8.694 2.604 0.020
Ru 2.390 0.716 1.114
Rh 7.083 2.121 3.532
Pt 4.745 1.421 2.329
```

Properties
VASP energy = -7.97 eV per atom
Polymorph energy (0 for the lowest one) = 34 meV per atom
Size of the total moment = 0.000 μB/f.u.


VASP calculation (PBE) on an optimized crystal structure of RuPtRh2.

```
8
Lattice="-1.787 -4.794 4.616 6.543 -0.391 2.126 1.899 -0.650 5.203" Properties=species:S:1:pos:R:3 pbc="T T T"
Ru 2.378 -2.592 3.371
Ru 5.410 -1.817 5.350
Rh 0.217 -3.098 4.346
Rh 4.300 -1.116 3.313
Rh 3.358 -2.441 6.480
Rh 5.436 -5.015 9.753
Pt 0.000 0.000 0.000
Pt 1.245 -4.018 6.595
```

Properties
VASP energy = -6.99 eV per atom
Polymorph energy (0 for the lowest one) = 559 meV per atom
Size of the total moment = 0.000 μB/f.u.


VASP calculation (PBE) on an optimized crystal structure of Ru5PtRh8.

```
14
Lattice="-3.266 0.094 5.636 4.011 -5.132 -0.075 3.490 5.465 -0.630" Properties=species:S:1:pos:R:3 pbc="T T T"
Ru 1.478 -0.932 0.035
Ru 1.413 -3.587 4.853
Ru 2.719 0.430 4.061
Ru 0.112 2.779 2.503
Ru 2.859 4.940 0.914
Pt 3.806 1.556 0.900
Rh 2.618 -3.152 0.672
Rh -0.604 3.172 4.810
Rh -0.149 0.563 4.007
Rh 2.731 3.041 3.064
Rh 1.543 -1.652 2.735
Rh 4.948 -0.053 2.548
Rh 1.508 0.884 1.834
Rh 4.345 -1.100 0.058
```

Properties
VASP energy = -7.57 eV per atom
Size of the total moment = 0.000 μB/f.u.


VASP calculation (PBE) on an optimized crystal structure of Ru5Pt12Rh3.

```
80
Lattice="-3.562 12.180 -0.381 -4.175 -5.958 -10.405 -4.931 -5.531 10.310" Properties=species:S:1:pos:R:3 pbc="T T T"
Rh -4.854 6.210 -2.899
Rh -6.865 5.498 -6.848
Rh -7.549 -3.357 -1.503
Rh -3.262 0.226 2.470
Rh -4.871 8.530 0.943
Rh -5.178 -0.539 -4.069
Rh -7.490 1.231 3.592
Rh -7.797 -7.839 -1.420
Rh -9.407 0.466 -2.947
Rh -5.119 4.049 1.027
Rh -5.804 -4.806 6.372
Rh -7.815 -5.518 2.423
Ru -3.244 -2.094 -1.372
Ru -2.088 -2.979 -5.202
Ru 0.000 0.000 0.000
Ru -2.996 2.387 -1.455
Ru -4.246 3.325 4.964
Ru -3.869 3.111 -5.393
Ru -5.426 -5.020 -3.985
Ru -7.508 3.551 7.435
Ru -7.130 3.338 -2.923
Ru -5.556 -0.325 6.289
Ru -7.112 1.017 -6.765
Ru -6.334 0.346 -0.238
Ru -1.781 6.090 -0.191
Ru -2.466 -2.765 5.155
Ru -5.538 -2.646 2.446
Ru -5.160 -2.859 -7.911
Ru -4.553 -5.744 -0.048
Ru -7.242 5.712 3.509
Ru -9.672 -1.695 0.979
Ru -9.425 2.786 0.896
Pt -3.489 7.697 -1.120
Pt -5.596 -1.617 -1.640
Pt -6.177 7.800 -1.292
Pt -3.653 4.689 -1.136
Pt -8.428 -0.882 -0.924
Pt -6.594 7.050 -4.668
Pt -6.438 -2.829 -3.895
Pt -4.795 -5.241 -8.067
Pt -9.280 -2.217 -3.105
Pt -5.876 4.452 -4.660
Pt -6.346 4.795 -1.165
Pt -7.106 4.320 -9.255
Pt -6.315 -5.722 -1.853
Pt -3.459 1.383 -3.602
Pt -5.918 -6.397 -5.907
Pt -4.923 0.973 4.353
Pt -2.140 -1.202 0.582
Pt -4.748 0.922 -6.286
Pt -8.112 3.201 -7.019
Pt -2.624 -1.179 -3.519
Pt -8.999 -5.492 -1.955
Pt -6.781 0.965 -2.642
Pt -9.518 3.139 -3.225
Pt -8.634 2.365 5.658
Pt -5.887 -0.273 2.166
Pt -3.151 -2.447 2.748
Pt -4.034 -1.673 -6.135
Pt -4.556 -2.509 6.542
Pt -3.670 6.184 1.479
Pt -10.045 1.871 3.043
Pt -7.921 -0.230 5.810
Pt -7.745 -0.281 -4.830
Pt -10.528 1.894 -1.058
Pt -6.750 7.089 5.430
Pt -6.353 6.414 1.376
Pt -5.563 -3.628 8.778
Pt -9.209 -0.691 3.126
Pt -3.388 2.909 2.629
Pt -6.793 -3.760 4.183
Pt -6.322 -4.104 0.688
Pt -7.873 5.933 7.591
Pt -6.230 3.521 3.419
Pt -9.016 -3.997 0.660
Pt -6.074 -6.358 4.191
Pt -4.240 1.574 0.448
Pt -6.491 -7.109 0.816
Pt -7.073 2.309 1.163
Pt -9.179 -7.005 0.644
```

Properties
VASP energy = -6.26 eV per atom
Size of the total moment = 3.677 μB/f.u.


VASP calculation (PBE) on an optimized crystal structure of RuPtRh2.

```
4
Lattice="4.677 0.000 0.000 0.000 2.699 0.001 0.000 0.000 4.710" Properties=species:S:1:pos:R:3 pbc="T T T"
Pt 2.339 2.024 3.533
Rh 0.000 0.010 0.019
Rh 0.000 1.339 2.337
Ru 2.339 0.675 1.178
```

Properties
VASP energy = -7.27 eV per atom
Polymorph energy (0 for the lowest one) = 274 meV per atom
Size of the total moment = 1.085 μB/f.u.


VASP calculation (PBE) on an optimized crystal structure of Ru2PtRh2.

```
5
Lattice="-3.092 -0.859 -2.123 -2.468 -3.691 1.602 -3.946 2.217 1.362" Properties=species:S:1:pos:R:3 pbc="T T T"
Ru -2.706 -0.019 0.462
Ru -6.800 -2.314 0.379
Pt 0.000 0.000 0.000
Rh -4.145 -2.287 -0.011
Rh -5.361 -0.046 0.852
```

Properties
VASP energy = -7.85 eV per atom
Polymorph energy (0 for the lowest one) = 35 meV per atom
Size of the total moment = 0.000 μB/f.u.